Entry 1:
## CsHOs2Au (SCAN)

Data for a PBEsol-optimized structure of CsHOs2Au.

Unit cell a=3.942 b=3.942 c=5.466 alpha=90.00 beta=90.00 gamma=90.00
Space group P4/mmm (No. 123)
One atom of each set of equivalent atoms:
Cs 0.000 0.000 0.000
H 0.000 0.000 0.500
Os 0.000 0.500 0.500
Au 0.500 0.500 0.000

=====

Entry 2:
## CsHfAu3 (SCAN)

Data for a PBEsol-optimized structure of CsHfAu3.

Unit cell a=5.306 b=5.306 c=5.306 alpha=90.00 beta=90.00 gamma=90.00
Space group Pm-3m (No. 221)
One atom of each set of equivalent atoms:
Cs 0.000 0.000 0.000
Hf 0.500 0.500 0.500
Au 0.000 0.500 0.500

Energy relative to the elements: -0.102 eV per atom

=====

Entry 3:
## CsHfPt2Au (SCAN)

Data for a PBEsol-optimized structure of CsHfPt2Au.

Unit cell a=5.022 b=5.022 c=5.387 alpha=90.00 beta=90.00 gamma=90.00
Space group P4/mmm (No. 123)
One atom of each set of equivalent atoms:
Cs 0.000 0.000 0.000
Hf 0.500 0.500 0.500
Pt 0.000 0.500 0.500
Au 0.500 0.500 0.000

Energy relative to the elements: 0.045 eV per atom

=====

Entry 4:
## CsHg2Au (SCAN)

Data for a PBEsol-optimized structure of CsHg2Au.

Unit cell a=5.776 b=5.776 c=18.460 alpha=90.00 beta=90.00 gamma=90.00
Space group I-42d (No. 122)
One atom of each set of equivalent atoms:
Cs 0.000 0.000 0.000
Hg 0.045 0.250 0.625
Au 0.000 0.000 0.500

Energy above the most stable polymorph in this dataset: 0 meV per atom
Energy relative to the elements: -0.226 eV per atom

=====

Entry 5:
## CsHg2Au (SCAN)

Data for a PBEsol-optimized structure of CsHg2Au.

Unit cell a=7.796 b=7.796 c=7.796 alpha=90.00 beta=90.00 gamma=90.00
Space group Fm-3m (No. 225)
One atom of each set of equivalent atoms:
Cs 0.000 0.000 0.000
Hg 0.250 0.250 0.250
Au 0.000 0.000 0.500

Energy above the most stable polymorph in this dataset: 76 meV per atom
Energy relative to the elements: -0.149 eV per atom

=====

Entry 6:
## Cs3HgAu (SCAN)

Data for a PBEsol-optimized structure of Cs3HgAu.

Unit cell a=6.711 b=6.711 c=6.711 alpha=90.00 beta=90.00 gamma=90.00
Space group Pm-3m (No. 221)
One atom of each set of equivalent atoms:
Cs 0.000 0.000 0.500
Hg 0.500 0.500 0.500
Au 0.000 0.000 0.000

Energy relative to the elements: -0.177 eV per atom

=====

Entry 7:
## Cs2HgAu2 (SCAN)

Data for a PBEsol-optimized structure of Cs2HgAu2.

Unit cell a=9.676 b=9.676 c=4.094 alpha=90.00 beta=90.00 gamma=90.00
Space group P4/mbm (No. 127)
One atom of each set of equivalent atoms:
Cs 0.146 0.354 0.000
Hg 0.000 0.000 0.000
Au 0.150 0.650 0.500

Energy above the most stable polymorph in this dataset: 88 meV per atom
Energy relative to the elements: -0.262 eV per atom

=====

Entry 8:
## CsHg2Au2 (SCAN)

Data for a PBEsol-optimized structure of CsHg2Au2.

Unit cell a=5.058 b=5.058 c=10.739 alpha=90.00 beta=90.00 gamma=90.00
Space group I4/mmm (No. 139)
One atom of each set of equivalent atoms:
Cs 0.000 0.000 0.000
Hg 0.000 0.000 0.365
Au 0.000 0.500 0.250

Energy relative to the elements: -0.211 eV per atom

=====

| no. | total DFT energy (no corrections) (eV/cell) |
| --- | --- |
| 1 | -245.54 |
| 2 | -308.47 |
| 3 | -309.80 |
| 4 | -976.81 |
| 5 | -975.59 |
| 6 | -251.64 |
| 7 | -566.82 |
| 8 | -627.02 |